## KIn2Mo (PBE)

Data for KIn2Mo after structural relaxation.

Cell and atoms, written as POSCAR:
```
KIn2Mo
1.0
-3.8052 1.5454 -2.4832
1.2266 -1.0662 -2.5431
-3.7122 -7.1934 1.2118
In K Mo
2 1 1
Direct
0.0000 0.1257 0.8971
0.5000 0.1249 0.1954
0.0000 0.6235 0.5058
0.5000 0.6259 0.9017
```

## Properties
Its space group is Pm, No. 6. The volume is 29.64 Å³/atom. As for the total energy: -3.88 eV per atom. Its relative energy among the computed polymorphs is 133 meV per atom.

---

## K2InMo (PBE)

Data for K2InMo after structural relaxation.

Cell and atoms, written as POSCAR:
```
K2InMo
1.0
-5.0537 -0.7512 0.2066
-3.4297 -2.2608 3.0452
-1.9272 7.8061 5.2541
In K Mo
1 2 1
Direct
0.7627 0.7627 0.6570
0.0199 0.0199 0.9189
0.2311 0.2311 0.3284
0.4863 0.4863 0.5957
```

## Properties
Its space group is Cm, No. 8. The volume is 41.15 Å³/atom. As for the total energy: -3.12 eV per atom.